Arrangement A

SiNi2N | PBE | relaxed

a b c (Å): 3.8519 3.8519 3.8519
angles (deg): 60.00 60.00 60.00
Last column: nearest neighbours and their distance in Å.
Sites, in units of the cell vectors:
Ni (0.2500, 0.2500, 0.2500)  4 Si 2.36, 4 N 2.36
Ni (0.7500, 0.7500, 0.7500)  4 Si 2.36, 4 N 2.36
Si (0.5000, 0.5000, 0.5000)  8 Ni 2.36
N (0.0000, 0.0000, 0.0000)  8 Ni 2.36


Arrangement B

SiNi2N | PBE | relaxed

a b c (Å): 4.4770 4.4770 6.0084
angles (deg): 68.13 68.13 90.00
Last column: nearest neighbours and their distance in Å.
Sites, in units of the cell vectors:
Ni (0.5262, 0.1250, 0.2500)  2 N 1.83
Ni (0.2238, 0.6250, 0.2500)  2 N 1.83
Ni (0.3750, 0.4738, 0.7500)  2 N 1.83
Ni (0.8750, 0.7762, 0.7500)  2 N 1.83
Si (0.0000, 0.0000, 0.0000)  4 Ni 2.31
Si (0.7500, 0.2500, 0.5000)  4 Ni 2.31
N (0.5000, 0.5000, 0.0000)  4 Ni 1.83
N (0.2500, 0.7500, 0.5000)  4 Ni 1.83


Which structure is the least stable? The one labeled arrangement A.


Arrangement A

Si3NiN | PBE | relaxed

a b c (Å): 4.2548 4.2548 4.2548
angles (deg): 90.00 90.00 90.00
Last column: nearest neighbours and their distance in Å.
Sites, in units of the cell vectors:
Ni (0.0000, 0.0000, 0.0000)  6 Si 2.13
Si (0.0000, 0.5000, 0.0000)  2 Ni 2.13
Si (0.0000, 0.0000, 0.5000)  2 Ni 2.13
Si (0.5000, 0.0000, 0.0000)  2 Ni 2.13
N (0.5000, 0.5000, 0.5000)  12 Si 3.01


Arrangement B

Si3NiN | PBE | relaxed

a b c (Å): 3.9231 3.9231 3.9231
angles (deg): 90.00 90.00 90.00
Last column: nearest neighbours and their distance in Å.
Sites, in units of the cell vectors:
Ni (0.5000, 0.5000, 0.5000)  12 Si 2.77
Si (0.0000, 0.5000, 0.0000)  2 N 1.96
Si (0.0000, 0.0000, 0.5000)  2 N 1.96
Si (0.5000, 0.0000, 0.0000)  2 N 1.96
N (0.0000, 0.0000, 0.0000)  6 Si 1.96


Which structure is the least stable? The one labeled arrangement A.


Arrangement A

SiNiTeN2 | PBE | relaxed

a b c (Å): 3.7832 3.7832 5.2277
angles (deg): 90.00 90.00 90.00
Last column: nearest neighbours and their distance in Å.
Sites, in units of the cell vectors:
Ni (0.0000, 0.0000, 0.0000)  4 N 1.89
Si (0.5000, 0.5000, 0.5000)  4 Te 2.68
Te (0.0000, 0.0000, 0.5000)  2 Ni 2.61, 4 Si 2.68
N (0.0000, 0.5000, 0.0000)  2 Ni 1.89
N (0.5000, 0.0000, 0.0000)  2 Ni 1.89


Arrangement B

SiNiTeN2 | PBE | relaxed

a b c (Å): 3.4667 3.4667 7.2109
angles (deg): 90.00 90.00 90.00
Last column: nearest neighbours and their distance in Å.
Sites, in units of the cell vectors:
Ni (0.5000, 0.5000, 0.5000)  4 Te 2.45
Si (0.0000, 0.0000, 0.0000)  4 N 1.73
Te (0.0000, 0.0000, 0.5000)  4 Ni 2.45
N (0.0000, 0.5000, 0.0000)  2 Si 1.73
N (0.5000, 0.0000, 0.0000)  2 Si 1.73


Which structure is the least stable? The one labeled arrangement A.